1.
A plane-wave DFT calculation with PBE was carried out for KPuF5 after structural relaxation.

Summary:
Density of states at the Fermi level = 25.725 states/eV per cell
Total energy = -6.8763 eV per atom
Uncorrected formation energy = -23.3 eV per formula unit

The structure in CIF format:
```
data_KPuF5
_space_group_name_H-M_alt 'C 1 2/c 1'
_space_group_IT_number 15
_space_group_name_Hall '-C 2yc'
_cell_length_a 10.344
_cell_length_b 7.530
_cell_length_c 8.920
_cell_angle_alpha 90.00
_cell_angle_beta 114.38
_cell_angle_gamma 90.00
loop_
_atom_site_label
_atom_site_fract_x
_atom_site_fract_y
_atom_site_fract_z
K1 0.000 0.027 0.250
Pu1 0.000 0.500 0.000
F1 0.000 0.443 0.250
F2 0.010 0.220 0.976
F3 0.223 0.485 0.610
```

2.
A plane-wave DFT calculation with PBE was carried out for KPuF3 after structural relaxation.

Summary:
Density of states at the Fermi level = 3.724 states/eV per cell
Total energy = -6.8893 eV per atom
ΔE to the lowest computed polymorph = 194 meV per atom
Uncorrected formation energy = -13.4 eV per formula unit

The structure in CIF format:
```
data_KPuF3
_space_group_name_H-M_alt 'P 1 21/m 1'
_space_group_IT_number 11
_space_group_name_Hall '-P 2yb'
_cell_length_a 7.279
_cell_length_b 3.352
_cell_length_c 7.476
_cell_angle_alpha 90.00
_cell_angle_beta 111.76
_cell_angle_gamma 90.00
loop_
_atom_site_label
_atom_site_fract_x
_atom_site_fract_y
_atom_site_fract_z
K1 0.194 0.250 0.362
Pu1 0.379 0.750 0.934
F1 0.140 0.250 0.911
F2 0.181 0.750 0.630
F3 0.422 0.750 0.264
```

> What is the density of states at the Fermi level in the first record?

25.725 states/eV per cell

What did the second record say?
A plane-wave DFT calculation with PBE was carried out for KPuF3 after structural relaxation.

Summary:
Density of states at the Fermi level = 3.724 states/eV per cell
Total energy = -6.8893 eV per atom
ΔE to the lowest computed polymorph = 194 meV per atom
Uncorrected formation energy = -13.4 eV per formula unit

The structure in CIF format:
```
data_KPuF3
_space_group_name_H-M_alt 'P 1 21/m 1'
_space_group_IT_number 11
_space_group_name_Hall '-P 2yb'
_cell_length_a 7.279
_cell_length_b 3.352
_cell_length_c 7.476
_cell_angle_alpha 90.00
_cell_angle_beta 111.76
_cell_angle_gamma 90.00
loop_
_atom_site_label
_atom_site_fract_x
_atom_site_fract_y
_atom_site_fract_z
K1 0.194 0.250 0.362
Pu1 0.379 0.750 0.934
F1 0.140 0.250 0.911
F2 0.181 0.750 0.630
F3 0.422 0.750 0.264
```